1.
DFT (PBE) results for a geometry-optimized Ca2ScSi structure. Values from VASP.

Space group: Amm2 (38)
ρ in g/cm³: 2.074
Formation energy without anion corrections in meV per atom: -210.6

```
&SYSTEM
  ibrav = 0, nat = 4, ntyp = 3
/
ATOMIC_SPECIES
Ca 40.08 Ca.upf
Sc 44.96 Sc.upf
Si 28.09 Si.upf
ATOMIC_POSITIONS angstrom
Ca 0.000 0.000 0.000
Ca 1.855 0.000 5.483
Sc 0.000 0.000 11.326
Si 1.855 0.000 2.538
CELL_PARAMETERS angstrom
3.709 0.000 0.000
0.000 1.959 8.439
0.000 -1.959 8.439
```


2.
DFT (PBE) results for a geometry-optimized Ca2ScSi structure. Values from VASP.

Space group: Pmm2 (25)
ρ in g/cm³: 2.241
Formation energy without anion corrections in meV per atom: -174.7

```
&SYSTEM
  ibrav = 0, nat = 4, ntyp = 3
/
ATOMIC_SPECIES
Ca 40.08 Ca.upf
Sc 44.96 Sc.upf
Si 28.09 Si.upf
ATOMIC_POSITIONS angstrom
Ca 0.000 0.000 0.000
Ca 1.694 1.874 3.166
Sc 0.000 0.000 5.800
Si 1.694 1.874 7.010
CELL_PARAMETERS angstrom
3.388 0.000 0.000
0.000 3.749 0.000
0.000 0.000 8.940
```